[1]
DFT (PBE) results for a geometry-optimized BaLiHg3 structure.

The calculated density is 4.6 g/cm³. The calculated formation energy comes out at 1.2 eV/f.u. The energy above the most stable polymorph in this dataset comes out at 0.623 eV per atom.

The space group is Pm-3m (No. 221) and the conventional cell measures 6.435, 6.435 and 6.435 Å, with angles of 90.00, 90.00 and 90.00 degrees. The distinct sites, in fractional coordinates, are Ba at (0.000, 0.000, 0.000), Li at (0.500, 0.500, 0.500) and Hg at (0.000, 0.000, 0.500).

---

[2]
DFT (PBE) results for a geometry-optimized Dy2SiSb structure.

The calculated density is 7.7 g/cm³. The energy above the most stable polymorph in this dataset comes out at 0.000 eV per atom. The formation energy from raw total energies is -0.884 eV per atom.

The space group is Cmcm (No. 63) and the conventional cell measures 4.411, 22.954 and 4.058 Å, with angles of 90.00, 90.00 and 90.00 degrees. The distinct sites, in fractional coordinates, are Dy at (0.000, 0.061, 0.250), Dy at (0.000, 0.326, 0.250), Si at (0.000, 0.463, 0.250) and Sb at (0.000, 0.190, 0.250).